1.
The following is a PBE calculation of a relaxed TbNdFe2Si4 crystal, from the Open Quantum Materials Database.

Output
M_tot in μB per atom: 0.00
Total DFT energy (no corrections) in eV per atom: -6.67

a = 4.3063 Å, b = 3.9936 Å, c = 8.0221 Å
α = 90.00°, β = 103.57°, γ = 90.00°
Last column: nearest neighbours and their distance in Å.
Element x y z (fractional)
Fe (0.3847, 0.0000, 0.1107)  5 Si 2.25-2.35
Fe (0.6178, 0.5000, 0.8925)  5 Si 2.26-2.35
Nd (0.1009, 0.0000, 0.7036)  9 Si 2.95-3.24, 3 Fe 3.11-3.21
Si (0.8275, 0.0000, 0.0077)  4 Fe 2.25-2.35, 2 Si 2.51
Si (0.4552, 0.0000, 0.4001)  1 Fe 2.27, 2 Si 2.51
Si (0.5438, 0.5000, 0.5956)  1 Fe 2.33, 2 Si 2.51
Si (0.1740, 0.5000, 0.9975)  4 Fe 2.26-2.35, 2 Si 2.51
Tb (0.8962, 0.5000, 0.2923)  8 Si 2.89-3.16, 3 Fe 3.08-3.15

2.
The following is a PBE calculation of a relaxed NdTmFe2Si2 crystal, from the Open Quantum Materials Database.

Output
M_tot in μB per atom: 0.00
Total DFT energy (no corrections) in eV per atom: -6.72

a = 4.0325 Å, b = 4.0325 Å, c = 6.5771 Å
α = 90.00°, β = 90.00°, γ = 90.00°
Last column: nearest neighbours and their distance in Å.
Element x y z (fractional)
Fe (0.5000, 0.0000, 0.9922)  4 Si 2.31-2.33
Fe (0.0000, 0.5000, 0.9922)  4 Si 2.31-2.33
Nd (0.0000, 0.0000, 0.3293)  4 Fe 3.00, 6 Si 3.04-3.34
Si (0.5000, 0.5000, 0.1697)  4 Fe 2.33
Si (0.0000, 0.0000, 0.8215)  4 Fe 2.31
Tm (0.5000, 0.5000, 0.6950)  4 Fe 2.81, 5 Si 2.97-3.12

3.
The following is a PBE calculation of a relaxed NdYFe2Si2 crystal, from the Open Quantum Materials Database.

Output
M_tot in μB per atom: 0.00
Total DFT energy (no corrections) in eV per atom: -7.05

a = 4.0482 Å, b = 4.0482 Å, c = 6.6917 Å
α = 90.00°, β = 90.00°, γ = 90.00°
Last column: nearest neighbours and their distance in Å.
Element x y z (fractional)
Fe (0.5000, 0.0000, 0.9959)  4 Si 2.32-2.33
Fe (0.0000, 0.5000, 0.9959)  4 Si 2.32-2.33
Nd (0.0000, 0.0000, 0.3255)  4 Fe 2.99, 6 Si 3.05-3.35
Si (0.5000, 0.5000, 0.1678)  4 Fe 2.33
Si (0.0000, 0.0000, 0.8251)  4 Fe 2.32
Y (0.5000, 0.5000, 0.6898)  4 Fe 2.88, 5 Si 3.00-3.20

4.
The following is a PBE calculation of a relaxed NdSmFe2 crystal, from the Open Quantum Materials Database.

Output
M_tot in μB per atom: 0.55
Total DFT energy (no corrections) in eV per atom: -6.42
Formation enthalpy at 0 K in eV/atom: 0.104

a = 3.8514 Å, b = 5.8110 Å, c = 5.8110 Å
α = 42.19°, β = 90.00°, γ = 90.00°
Last column: nearest neighbours and their distance in Å.
Element x y z (fractional)
Fe (0.5000, 0.4477, 0.4477)  2 Fe 2.25
Fe (0.0000, 0.5556, 0.5556)  2 Fe 2.25
Nd (0.0000, 0.8548, 0.8548)  7 Fe 3.02-3.24
Sm (0.5000, 0.1419, 0.1419)  7 Fe 2.97-3.32

5.
The following is a PBE calculation of a relaxed NdSmTlFe2 crystal, from the Open Quantum Materials Database.

Output
M_tot in μB per atom: 0.33
Total DFT energy (no corrections) in eV per atom: -5.78

a = 4.1045 Å, b = 7.2880 Å, c = 7.2880 Å
α = 30.57°, β = 90.00°, γ = 90.00°
Last column: nearest neighbours and their distance in Å.
Element x y z (fractional)
Fe (0.0000, 0.2098, 0.2098)  2 Fe 2.21
Fe (0.0000, 0.7876, 0.7876)  2 Fe 2.21
Nd (0.5000, 0.3632, 0.3632)  6 Fe 2.98-3.01
Sm (0.5000, 0.6377, 0.6377)  6 Fe 2.94-2.99
Tl (0.0000, 0.0017, 0.0017)  2 Fe 2.93-3.01

6.
The following is a PBE calculation of a relaxed Nd2FeSn6 crystal, from the Open Quantum Materials Database.

Output
M_tot in μB per atom: 0.21
Total DFT energy (no corrections) in eV per atom: -5.05

a = 11.8989 Å, b = 11.8989 Å, c = 4.5163 Å
α = 90.00°, β = 90.00°, γ = 158.52°
Last column: nearest neighbours and their distance in Å.
Element x y z (fractional)
Fe (0.0000, 0.0000, 0.0000)  8 Sn 2.72-2.74
Nd (0.6751, 0.3249, 0.5000)  10 Sn 3.25-3.56
Nd (0.3249, 0.6751, 0.5000)  10 Sn 3.25-3.56
Sn (0.7928, 0.2072, 0.0000)  2 Sn 2.99, 4 Nd 3.25
Sn (0.5675, 0.4325, 0.0000)  2 Fe 2.72
Sn (0.4325, 0.5675, 0.0000)  2 Fe 2.72
Sn (0.2072, 0.7928, 0.0000)  2 Sn 2.99, 4 Nd 3.25
Sn (0.9333, 0.0667, 0.5000)  2 Fe 2.74
Sn (0.0667, 0.9333, 0.5000)  2 Fe 2.74

7.
The following is a PBE calculation of a relaxed NdTlFeTe3 crystal, from the Open Quantum Materials Database.

Output
M_tot in μB per atom: 0.67
Total DFT energy (no corrections) in eV per atom: -4.75
Energy above the lowest structure with this stoichiometry in eV/f.u.: 0.15

a = 4.5591 Å, b = 12.4479 Å, c = 13.3213 Å
α = 90.00°, β = 90.00°, γ = 90.00°
Last column: nearest neighbours and their distance in Å.
Element x y z (fractional)
Fe (0.7500, 0.7528, 0.2010)  4 Te 2.60-2.67
Fe (0.7500, 0.2528, 0.2990)  4 Te 2.60-2.67
Fe (0.2500, 0.7472, 0.7010)  4 Te 2.60-2.67
Fe (0.2500, 0.2472, 0.7990)  4 Te 2.60-2.67
Nd (0.2500, 0.4794, 0.1813)  7 Te 3.20-3.37
Nd (0.2500, 0.9794, 0.3187)  7 Te 3.20-3.37
Nd (0.7500, 0.0206, 0.6813)  7 Te 3.20-3.37
Nd (0.7500, 0.5206, 0.8187)  7 Te 3.20-3.37
Te (0.7500, 0.6068, 0.0583)  1 Fe 2.63
Te (0.7500, 0.9551, 0.1517)  1 Fe 2.60
Te (0.2500, 0.2186, 0.2000)  2 Fe 2.67
Te (0.2500, 0.7186, 0.3000)  2 Fe 2.67
Te (0.7500, 0.4551, 0.3483)  1 Fe 2.60
Te (0.7500, 0.1068, 0.4417)  1 Fe 2.63
Te (0.2500, 0.8932, 0.5583)  1 Fe 2.63
Te (0.2500, 0.5449, 0.6517)  1 Fe 2.60
Te (0.7500, 0.2814, 0.7000)  2 Fe 2.67
Te (0.7500, 0.7814, 0.8000)  2 Fe 2.67
Te (0.2500, 0.0449, 0.8483)  1 Fe 2.60
Te (0.2500, 0.3932, 0.9417)  1 Fe 2.63
Tl (0.7500, 0.1820, 0.0002)  7 Te 3.47-3.57, 2 Fe 3.61
Tl (0.7500, 0.6820, 0.4998)  7 Te 3.47-3.57, 2 Fe 3.61
Tl (0.2500, 0.3180, 0.5002)  7 Te 3.47-3.57, 2 Fe 3.61
Tl (0.2500, 0.8180, 0.9998)  7 Te 3.47-3.57, 2 Fe 3.61

8.
The following is a PBE calculation of a relaxed NdTlFeTe3 crystal, from the Open Quantum Materials Database.

Output
M_tot in μB per atom: 0.67
Total DFT energy (no corrections) in eV per atom: -4.77
Energy above the lowest structure with this stoichiometry in eV/f.u.: 0.00

a = 4.3796 Å, b = 8.1609 Å, c = 11.6995 Å
α = 90.00°, β = 90.00°, γ = 74.44°
Last column: nearest neighbours and their distance in Å.
Element x y z (fractional)
Fe (0.5299, 0.9402, 0.2500)  4 Te 2.63-2.72
Fe (0.4701, 0.0598, 0.7500)  4 Te 2.63-2.72
Nd (0.0000, 0.0000, 0.0000)  6 Te 3.14-3.16
Nd (0.0000, 0.0000, 0.5000)  6 Te 3.14-3.16
Te (0.6343, 0.7313, 0.0745)  1 Fe 2.63
Te (0.9273, 0.1454, 0.2500)  2 Fe 2.72
Te (0.6343, 0.7313, 0.4255)  1 Fe 2.63
Te (0.3657, 0.2687, 0.5745)  1 Fe 2.63
Te (0.0727, 0.8546, 0.7500)  2 Fe 2.72
Te (0.3657, 0.2687, 0.9255)  1 Fe 2.63
Tl (0.2461, 0.5078, 0.2500)  6 Te 3.48-3.59
Tl (0.7539, 0.4922, 0.7500)  6 Te 3.48-3.59

9.
The following is a PBE calculation of a relaxed NdUFe crystal, from the Open Quantum Materials Database.

Output
M_tot in μB per atom: 0.01
Total DFT energy (no corrections) in eV per atom: -7.46
Formation enthalpy at 0 K in eV/atom: 0.661
Energy above the lowest structure with this stoichiometry in eV/f.u.: 0.00

a = 4.6430 Å, b = 4.6430 Å, c = 4.6430 Å
α = 60.00°, β = 60.00°, γ = 60.00°
Last column: nearest neighbours and their distance in Å.
Element x y z (fractional)
Fe (0.0000, 0.0000, 0.0000)  4 Nd 2.84, 4 U 2.84
Nd (0.7500, 0.7500, 0.7500)  4 Fe 2.84
U (0.2500, 0.2500, 0.2500)  4 Fe 2.84

10.
The following is a PBE calculation of a relaxed NdYFe crystal, from the Open Quantum Materials Database.

Output
M_tot in μB per atom: 0.09
Total DFT energy (no corrections) in eV per atom: -6.24
Formation enthalpy at 0 K in eV/atom: 0.268
Energy above the lowest structure with this stoichiometry in eV/f.u.: 0.00

a = 4.7364 Å, b = 4.7364 Å, c = 4.7364 Å
α = 60.00°, β = 60.00°, γ = 60.00°
Last column: nearest neighbours and their distance in Å.
Element x y z (fractional)
Fe (0.0000, 0.0000, 0.0000)  4 Y 2.90, 4 Nd 2.90
Nd (0.2500, 0.2500, 0.2500)  4 Fe 2.90
Y (0.7500, 0.7500, 0.7500)  4 Fe 2.90

11.
The following is a PBE calculation of a relaxed Fe7Ni2 crystal, from the Open Quantum Materials Database.

Output
M_tot in μB per atom: 2.16
Total DFT energy (no corrections) in eV per atom: -7.67
Formation enthalpy at 0 K in eV/atom: 0.028

a = 4.0216 Å, b = 4.0216 Å, c = 7.3560 Å
α = 90.00°, β = 90.00°, γ = 120.00°
Last column: nearest neighbours and their distance in Å.
Element x y z (fractional)
Fe (0.0000, 0.0000, 0.0000)  8 Fe 2.46
Fe (0.6667, 0.3333, 0.1108)  4 Ni 2.45-2.46, 4 Fe 2.45-2.46
Fe (0.0000, 0.0000, 0.3343)  5 Fe 2.44-2.46, 3 Ni 2.46
Fe (0.6667, 0.3333, 0.4435)  7 Fe 2.45-2.47, 1 Ni 2.46
Fe (0.3333, 0.6667, 0.5565)  7 Fe 2.45-2.47, 1 Ni 2.46
Fe (0.0000, 0.0000, 0.6657)  5 Fe 2.44-2.46, 3 Ni 2.46
Fe (0.3333, 0.6667, 0.8892)  4 Ni 2.45-2.46, 4 Fe 2.45-2.46
Ni (0.3333, 0.6667, 0.2218)  8 Fe 2.45-2.46
Ni (0.6667, 0.3333, 0.7782)  8 Fe 2.45-2.46

12.
The following is a PBE calculation of a relaxed FeNi3 crystal, from the Open Quantum Materials Database.

Output
M_tot in μB per atom: 1.08
Total DFT energy (no corrections) in eV per atom: -6.24
Formation enthalpy at 0 K in eV/atom: 0.017

a = 3.9696 Å, b = 3.9696 Å, c = 3.9696 Å
α = 60.00°, β = 60.00°, γ = 60.00°
Last column: nearest neighbours and their distance in Å.
Element x y z (fractional)
Fe (0.0000, 0.0000, 0.0000)  8 Ni 2.43
Ni (0.2500, 0.2500, 0.2500)  4 Fe 2.43, 4 Ni 2.43
Ni (0.5000, 0.5000, 0.5000)  8 Ni 2.43
Ni (0.7500, 0.7500, 0.7500)  4 Ni 2.43, 4 Fe 2.43

13.
The following is a PBE calculation of a relaxed Fe3Ni crystal, from the Open Quantum Materials Database.

Output
M_tot in μB per atom: 2.13
Total DFT energy (no corrections) in eV per atom: -7.59
Formation enthalpy at 0 K in eV/atom: 0.029

a = 4.0171 Å, b = 4.0171 Å, c = 4.0171 Å
α = 60.00°, β = 60.00°, γ = 60.00°
Last column: nearest neighbours and their distance in Å.
Element x y z (fractional)
Fe (0.0000, 0.0000, 0.0000)  4 Fe 2.46, 4 Ni 2.46
Fe (0.2500, 0.2500, 0.2500)  8 Fe 2.46
Fe (0.5000, 0.5000, 0.5000)  4 Ni 2.46, 4 Fe 2.46
Ni (0.7500, 0.7500, 0.7500)  8 Fe 2.46